VASP calculation (PBE) on a relaxed structure of Nd3Ga3Ru.

Cell lengths 4.119, 6.065, 14.534 Å; angles 82.55, 81.85, 70.15 degrees
Sites, in units of the cell vectors:
Nd 0.524 0.338 0.614
Nd 0.476 0.662 0.386
Nd 0.263 0.235 0.239
Nd 0.737 0.765 0.761
Nd 0.383 0.313 0.921
Nd 0.617 0.687 0.079
Ga 0.834 0.794 0.538
Ga 0.166 0.206 0.462
Ga 0.101 0.873 0.926
Ga 0.899 0.127 0.074
Ga 0.974 0.823 0.229
Ga 0.026 0.177 0.771
Ru 0.775 0.072 0.379
Ru 0.225 0.928 0.621

## Properties
For the volume, the calculation gives 24.1 Å³/atom. The formation energy is -0.5321 eV/atom. Its space group is No. 12.


VASP calculation (PBE) on a relaxed structure of KTiAgCl6.

Cell lengths 6.860, 6.930, 6.604 Å; angles 91.25, 89.94, 59.00 degrees
Sites, in units of the cell vectors:
K 0.010 0.999 0.000
Ti 0.336 0.334 0.500
Ag 0.665 0.667 0.500
Cl 0.038 0.358 0.293
Cl 0.352 0.042 0.698
Cl 0.608 0.344 0.709
Cl 0.042 0.602 0.718
Cl 0.345 0.608 0.301
Cl 0.604 0.047 0.281

## Properties
For the volume, the calculation gives 29.9 Å³/atom. The calculation puts the uncorrected formation energy at -1.399 eV/atom. Its space group is No. 1.


VASP calculation (PBE) on a relaxed structure of Ag2SnF7.

Cell lengths 6.632, 6.851, 8.337 Å; angles 73.63, 66.56, 61.05 degrees
Site moments in Bohr magnetons follow the coordinates.
Sites, in units of the cell vectors:
Ag 0.618 0.908 0.716  0.31
Ag 0.757 0.408 0.216  0.31
Ag 0.243 0.592 0.784  0.31
Ag 0.382 0.092 0.284  0.31
Sn 0.877 0.250 0.750  0.00
Sn 0.123 0.750 0.250  0.00
F 0.640 0.582 0.687  0.05
F 0.090 0.082 0.187  0.05
F 0.305 0.751 0.994  0.01
F 0.247 0.061 0.678  0.03
F 0.536 0.250 0.750  0.13
F 0.950 0.251 0.494  0.01
F 0.986 0.439 0.822  0.03
F 0.014 0.561 0.178  0.03
F 0.050 0.749 0.506  0.01
F 0.464 0.750 0.250  0.13
F 0.753 0.939 0.322  0.03
F 0.695 0.249 0.006  0.01
F 0.910 0.918 0.813  0.05
F 0.360 0.418 0.313  0.05

## Properties
For the volume, the calculation gives 15.1 Å³/atom. The calculation puts the uncorrected formation energy at -1.751 eV/atom. Its space group is No. 15.


VASP calculation (PBE) on a relaxed structure of ReSeN2F.

Cell lengths 4.044, 4.044, 3.916 Å; angles 90.00, 90.00, 90.00 degrees
Site moments in Bohr magnetons follow the coordinates.
Sites, in units of the cell vectors:
Re 0.500 0.500 0.500  3.52
N 0.000 0.500 0.000  -0.11
N 0.500 0.000 0.000  -0.11
Se 0.000 0.000 0.000  0.01
F 0.000 0.000 0.500  0.06

## Properties
For the volume, the calculation gives 12.8 Å³/atom. The calculation puts the uncorrected formation energy at 1.776 eV/atom. Its space group is No. 123.


VASP calculation (PBE) on a relaxed structure of Sr2LaSbN.

Cell lengths 5.239, 5.239, 5.009 Å; angles 90.00, 90.00, 90.00 degrees
Sites, in units of the cell vectors:
Sb 0.500 0.500 0.500
N 0.000 0.000 0.000
Sr 0.000 0.500 0.000
Sr 0.500 0.000 0.000
La 0.000 0.000 0.500

## Properties
For the volume, the calculation gives 27.5 Å³/atom. The calculation puts the uncorrected formation energy at -0.947 eV/atom. Its space group is No. 123.


VASP calculation (PBE) on a relaxed structure of ScCo2Se.

Cell lengths 4.383, 4.383, 4.383 Å; angles 60.00, 60.00, 60.00 degrees
Site moments in Bohr magnetons follow the coordinates.
Sites, in units of the cell vectors:
Co 0.000 0.000 0.000  1.47
Co 0.750 0.750 0.750  1.36
Sc 0.500 0.500 0.500  -0.15
Se 0.250 0.250 0.250  0.07

## Properties
For the volume, the calculation gives 14.9 Å³/atom. The calculation puts the uncorrected formation energy at -0.038 eV/atom. Its space group is No. 216.